[1]
The following is a GGA-PBEsol calculation of a relaxed KMnPt crystal, from the Alexandria database.

Summary:
- Energy of formation from the pure elements: 1548 meV/atom
- Energy above the most stable polymorph in this dataset: 1228.7 meV per atom
- Crystal system: cubic
- Calculated volume: 72.8 Å³ per cell
- Symmetry: F-43m
- Density of states at the Fermi level: 1.81 states/eV per cell

Cell: 4.686 4.686 4.686 Å, 60.00 60.00 60.00°
Sites, in units of the cell vectors:
K1 0.750 0.750 0.750
Mn1 0.000 0.000 0.000
Pt1 0.500 0.500 0.500

[2]
The following is a GGA-PBEsol calculation of a relaxed KMnPt2 crystal, from the Alexandria database.

Summary:
- Energy of formation from the pure elements: 7 meV/atom
- Crystal system: tetragonal
- Calculated volume: 71.8 Å³ per cell
- Symmetry: P4/mmm
- Density of states at the Fermi level: 2.77 states/eV per cell

Cell: 2.943 2.943 8.296 Å, 90.00 90.00 90.00°
Sites, in units of the cell vectors:
K1 0.500 0.500 0.000
Mn1 0.500 0.500 0.500
Pt1 0.000 0.000 0.690
Pt2 0.000 0.000 0.310

[3]
The following is a GGA-PBEsol calculation of a relaxed K2MnRe crystal, from the Alexandria database.

Summary:
- Energy of formation from the pure elements: 1621 meV/atom
- Energy above the most stable polymorph in this dataset: 708.8 meV per atom
- Crystal system: tetragonal
- Calculated volume: 80.1 Å³ per cell
- Symmetry: P4/mmm
- Density of states at the Fermi level: 3.12 states/eV per cell

Cell: 3.723 3.723 5.780 Å, 90.00 90.00 90.00°
Sites, in units of the cell vectors:
K1 0.000 0.500 0.000
K2 0.500 0.000 0.000
Mn1 0.500 0.500 0.500
Re1 0.000 0.000 0.500

[4]
The following is a GGA-PBEsol calculation of a relaxed K2MnRe crystal, from the Alexandria database.

Summary:
- Energy of formation from the pure elements: 912 meV/atom
- Energy above the most stable polymorph in this dataset: 0.0 meV per atom
- Crystal system: tetragonal
- Calculated volume: 105.8 Å³ per cell
- Symmetry: P4mm
- Density of states at the Fermi level: 3.76 states/eV per cell

Cell: 3.186 3.186 10.426 Å, 90.00 90.00 90.00°
Sites, in units of the cell vectors:
K1 0.000 0.000 0.920
K2 0.500 0.500 0.331
Mn1 0.000 0.000 0.583
Re1 0.500 0.500 0.665

[5]
The following is a GGA-PBEsol calculation of a relaxed KMn2Rh crystal, from the Alexandria database.

Summary:
- Energy of formation from the pure elements: 841 meV/atom
- Energy above the most stable polymorph in this dataset: 215.5 meV per atom
- Crystal system: trigonal
- Calculated volume: 72.3 Å³ per cell
- Symmetry: R-3m
- Density of states at the Fermi level: 4.52 states/eV per cell

Cell: 2.898 2.898 10.087 Å, 81.74 81.74 60.00°
Sites, in units of the cell vectors:
K1 0.000 0.000 0.000
Mn1 0.233 0.233 0.301
Mn2 0.767 0.767 0.699
Rh1 0.500 0.500 0.500

[6]
The following is a GGA-PBEsol calculation of a relaxed K2MnRh crystal, from the Alexandria database.

Summary:
- Energy of formation from the pure elements: 1149 meV/atom
- Energy above the most stable polymorph in this dataset: 167.5 meV per atom
- Crystal system: tetragonal
- Calculated volume: 93.2 Å³ per cell
- Symmetry: P4/mmm
- Density of states at the Fermi level: 4.77 states/eV per cell

Cell: 2.898 2.898 11.095 Å, 90.00 90.00 90.00°
Sites, in units of the cell vectors:
K1 0.000 0.000 0.720
K2 0.000 0.000 0.280
Mn1 0.500 0.500 0.000
Rh1 0.500 0.500 0.500